Entry from Alexandria via LeMat-Bulk: crystalline LaHg2Cl at its relaxed geometry (PBE).

The energy above the most stable polymorph in this dataset is 0.0537 eV per atom. As for the energy relative to the elements, uncorrected: -786 meV per atom.

a b c (Å): 5.1779 3.9052 5.8165
angles (deg): 89.92 90.00 90.00
Atoms (fractional coordinates):
Hg 0.5000 0.1255 0.2611
Hg 0.0000 0.1240 0.9974
Cl 0.5000 0.6256 0.7188
La 0.0000 0.6249 0.5228